# 1
Computed, not measured: crystalline NiHg2Ir at its relaxed geometry at the PBE-GGA level of DFT.

The structure in extended XYZ format:
```
4
Lattice="-3.024 1.512 2.748 -0.805 -2.885 0.702 3.070 -1.534 4.222" Properties=species:S:1:pos:R:3 pbc="T T T"
Hg 2.146 -4.218 4.683
Hg -0.813 -0.549 2.861
Ir 0.952 -2.759 2.566
Ni 0.354 -2.009 4.949
```

## Properties
Size of the total moment, μB per cell: 0.04
E above lowest polymorph, meV/atom: 114.3
Space-group type: Pm, No. 6
Calculated formation energy, eV per formula unit: 1.7
Calculated volume, A^3/atom: 17.4

# 2
Computed, not measured: crystalline Ni2Hg2Ir at its relaxed geometry at the PBE-GGA level of DFT.

The structure in extended XYZ format:
```
5
Lattice="-1.444 -2.647 1.190 -1.024 -0.779 -2.975 5.458 -5.907 -2.097" Properties=species:S:1:pos:R:3 pbc="T T T"
Ni 1.390 -5.133 -0.900
Ni 1.600 -4.199 -2.982
Ir 0.000 0.000 0.000
Hg 0.235 -2.633 -1.157
Hg 2.755 -6.699 -2.725
```

## Properties
Size of the total moment, μB per cell: 0.90
E above lowest polymorph, meV/atom: 174.1
Space-group type: I4/mmm, No. 139
Calculated formation energy, eV per formula unit: 2.9
Calculated volume, A^3/atom: 16.8

# 3
Computed, not measured: crystalline NiHg2Ir at its relaxed geometry at the PBE-GGA level of DFT.

The structure in extended XYZ format:
```
4
Lattice="-8.012 2.567 2.953 -8.772 1.579 0.232 -8.548 -0.345 2.513" Properties=species:S:1:pos:R:3 pbc="T T T"
Hg -0.112 0.017 0.025
Hg -12.554 1.884 2.824
Ir -6.333 0.950 1.425
Ni -18.999 2.851 4.274
```

## Properties
Size of the total moment, μB per cell: 0.39
E above lowest polymorph, meV/atom: 126.8
Space-group type: R-3m, No. 166
Calculated formation energy, eV per formula unit: 1.8
Calculated volume, A^3/atom: 17.0

# 4
Computed, not measured: crystalline NiHgIr at its relaxed geometry at the PBE-GGA level of DFT.

The structure in extended XYZ format:
```
3
Lattice="2.851 0.000 0.000 -1.426 2.469 0.000 0.000 0.000 6.625" Properties=species:S:1:pos:R:3 pbc="T T T"
Hg 0.000 0.000 6.541
Ir 1.426 0.823 2.390
Ni 0.000 1.646 4.318
```

## Properties
Size of the total moment, μB per cell: 0.59
E above lowest polymorph, meV/atom: 41.5
Space-group type: P3m1, No. 156
Calculated formation energy, eV per formula unit: 1.1
Calculated volume, A^3/atom: 15.5

# 5
Computed, not measured: crystalline Ni2HgIr2 at its relaxed geometry at the PBE-GGA level of DFT.

The structure in extended XYZ format:
```
5
Lattice="3.641 0.000 0.000 0.000 3.641 0.000 1.821 1.821 5.923" Properties=species:S:1:pos:R:3 pbc="T T T"
Ni 1.821 1.821 1.205
Ni 3.641 3.641 4.717
Ir 3.641 1.821 2.961
Ir 1.821 3.641 2.961
Hg 0.000 0.000 0.000
```

## Properties
Size of the total moment, μB per cell: 0.00
E above lowest polymorph, meV/atom: 129.0
Space-group type: I4/mmm, No. 139
Calculated formation energy, eV per formula unit: 2.2
Calculated volume, A^3/atom: 15.7

# 6
Computed, not measured: crystalline NiHg2Ir at its relaxed geometry at the PBE-GGA level of DFT.

The structure in extended XYZ format:
```
4
Lattice="-3.362 2.428 1.919 -0.721 4.324 -1.292 -3.720 1.069 -2.430" Properties=species:S:1:pos:R:3 pbc="T T T"
Ni 0.000 0.000 0.000
Ir -3.902 3.910 -0.902
Hg -1.951 1.955 -0.451
Hg -5.852 5.866 -1.352
```

## Properties
Size of the total moment, μB per cell: 0.00
E above lowest polymorph, meV/atom: 116.0
Space-group type: Fm-3m, No. 225
Calculated formation energy, eV per formula unit: 1.7
Calculated volume, A^3/atom: 16.9

# 7
Computed, not measured: crystalline NiHg2Ir at its relaxed geometry at the PBE-GGA level of DFT.

The structure in extended XYZ format:
```
4
Lattice="-1.696 -3.043 2.972 2.239 -3.914 0.797 2.076 -0.670 4.026" Properties=species:S:1:pos:R:3 pbc="T T T"
Hg 0.000 0.000 0.000
Hg 0.655 -1.907 1.949
Ir 1.310 -3.814 3.897
Ni 1.965 -5.720 5.846
```

## Properties
Size of the total moment, μB per cell: 0.18
E above lowest polymorph, meV/atom: 237.5
Space-group type: F-43m, No. 216
Calculated formation energy, eV per formula unit: 2.2
Calculated volume, A^3/atom: 17.0

# 8
Computed, not measured: crystalline NiHg2Ir at its relaxed geometry at the PBE-GGA level of DFT.

The structure in extended XYZ format:
```
4
Lattice="5.000 0.010 0.000 1.692 4.705 0.000 -3.346 -2.358 2.871" Properties=species:S:1:pos:R:3 pbc="T T T"
Hg 0.000 0.000 0.000
Hg 0.846 2.352 1.436
Ir 3.346 2.358 0.000
Ni 2.500 0.005 1.436
```

## Properties
Size of the total moment, μB per cell: 0.35
E above lowest polymorph, meV/atom: 176.0
Space-group type: I-4m2, No. 119
Calculated formation energy, eV per formula unit: 2.0
Calculated volume, A^3/atom: 16.9

# 9
Computed, not measured: crystalline NiHg2Ir at its relaxed geometry at the PBE-GGA level of DFT.

The structure in extended XYZ format:
```
4
Lattice="4.760 -0.092 0.000 0.997 4.655 0.000 -2.878 -2.282 3.029" Properties=species:S:1:pos:R:3 pbc="T T T"
Hg 0.000 0.000 0.000
Hg 2.878 2.282 0.000
Ir 0.498 2.328 1.514
Ni 2.380 -0.046 1.514
```

## Properties
Size of the total moment, μB per cell: 0.00
E above lowest polymorph, meV/atom: 114.9
Space-group type: I4/mmm, No. 139
Calculated formation energy, eV per formula unit: 1.7
Calculated volume, A^3/atom: 16.8

# 10
Computed, not measured: crystalline Ni2Hg2Ir at its relaxed geometry at the PBE-GGA level of DFT.

The structure in extended XYZ format:
```
10
Lattice="-1.675 -7.242 0.670 6.393 -1.794 -3.408 1.343 -0.074 2.558" Properties=species:S:1:pos:R:3 pbc="T T T"
Ni 4.630 -2.393 -0.867
Ni 4.924 -6.332 -1.135
Ni 1.431 -6.717 0.688
Ni 1.137 -2.778 0.956
Ir 0.000 0.000 0.000
Ir 2.359 -4.518 -1.369
Hg 4.898 -4.156 -2.691
Hg 2.646 -7.380 -1.602
Hg -0.180 -4.881 -0.047
Hg 2.072 -1.656 -1.135
```

## Properties
Size of the total moment, μB per cell: 1.73
E above lowest polymorph, meV/atom: 182.2
Space-group type: P4/mbm, No. 127
Calculated formation energy, eV per formula unit: 3.0
Calculated volume, A^3/atom: 16.1